No. 1
Below is crystalline LaSm3Co at its relaxed geometry, with properties calculated at the PBE-GGA level.

Cell and atoms, written as extended XYZ:
```
10
Lattice="7.6882 0.0000 0.0000 -3.8441 6.6582 0.0000 0.0000 0.0000 5.9194" Properties=species:S:1:pos:R:3 pbc="T T T"
La 0.0000 4.4388 1.4799
La 3.8441 2.2194 4.4396
Sm 0.0000 2.3031 4.4396
Sm -1.8496 5.5066 4.4396
Sm 1.9945 1.1515 1.4799
Sm 1.8496 5.5066 4.4396
Sm 5.6937 1.1515 1.4799
Sm 3.8441 4.3551 1.4799
Co 0.0000 0.0000 0.0000
Co 0.0000 0.0000 2.9597
```

Its energy above the most stable polymorph in this dataset is 54.8 meV per atom. As for the total energy: -5.2645 eV per atom. As for the size of the total moment: 0.0 μB per formula unit. The calculation puts the formation energy from the elements at -0.1 eV per formula unit.


No. 2
Below is crystalline LaSm3Co at its relaxed geometry, with properties calculated at the PBE-GGA level.

Cell and atoms, written as extended XYZ:
```
10
Lattice="5.9624 -4.2398 0.0000 5.9624 4.2398 0.0000 -5.8828 0.0000 6.0531" Properties=species:S:1:pos:R:3 pbc="T T T"
La -1.4470 0.0000 1.9901
La 7.4892 0.0000 4.0630
Sm 1.7696 1.7371 1.2565
Sm 1.7696 -1.7371 1.2565
Sm 1.0182 0.0000 4.5462
Sm 5.0240 0.0000 1.5069
Sm 4.2725 1.7371 4.7966
Sm 4.2725 -1.7371 4.7966
Co -2.2945 0.0000 5.3633
Co 8.3367 0.0000 0.6899
```

Its energy above the most stable polymorph in this dataset is 0.0 meV per atom. As for the total energy: -5.3193 eV per atom. As for the size of the total moment: 0.0 μB per formula unit. The calculation puts the formation energy from the elements at -0.4 eV per formula unit.